! ZrCo2PF | the Alexandria database | PBE with a Hubbard U | optimized geometry; values from VASP
&SYSTEM
  ibrav = 0, nat = 5, ntyp = 4
/
ATOMIC_SPECIES
Zr 91.22 Zr.upf
Co 58.93 Co.upf
P 30.97 P.upf
F 19.00 F.upf
CELL_PARAMETERS angstrom
5.159 0.000 0.000
0.000 5.159 0.000
0.000 0.000 4.903
ATOMIC_POSITIONS crystal
Zr 0.000 0.000 0.000
Co 0.000 0.500 0.000
Co 0.500 0.000 0.000
P 0.000 0.000 0.500
F 0.500 0.500 0.500
! * energy: -4.137 eV per atom
! * density of states at the Fermi level: 5.26 states/eV per cell
! * SG: P4/mmm